(1)
A plane-wave DFT calculation with PBE was carried out for Mg2H5Ru after structural relaxation.

Unit cell a=4.712 b=4.712 c=6.398 alpha=90.00 beta=90.00 gamma=90.00
Space group I4mm (No. 107)
Unique sites:
Mg (0.000, 0.500, 0.000) [4 per cell]
H (0.000, 0.000, 0.489) [2 per cell]
H (0.246, 0.246, 0.253) [8 per cell]
Ru (0.000, 0.000, 0.742) [2 per cell]

Output
Polymorph energy (0 for the lowest one): 0.00 kcal/mol of atoms



(2)
A plane-wave DFT calculation with PBE was carried out for Mg2H6Ru after structural relaxation.

Unit cell a=4.375 b=4.375 c=8.363 alpha=90.00 beta=90.00 gamma=90.00
Space group P4_2/mnm (No. 136)
Unique sites:
Mg (0.000, 0.000, 0.169) [4 per cell]
H (0.192, 0.192, 0.354) [8 per cell]
H (0.223, 0.223, 0.000) [4 per cell]
Ru (0.000, 0.000, 0.500) [2 per cell]

Output
Polymorph energy (0 for the lowest one): 4.40 kcal/mol of atoms



(3)
A plane-wave DFT calculation with PBE was carried out for MgH2Ru after structural relaxation.

Unit cell a=4.083 b=4.083 c=9.372 alpha=90.00 beta=90.00 gamma=90.00
Space group I-42d (No. 122)
Unique sites:
Mg (0.000, 0.000, 0.000) [4 per cell]
H (0.190, 0.250, 0.625) [8 per cell]
Ru (0.000, 0.000, 0.500) [4 per cell]

Output
E: -4.413 eV per atom



(4)
A plane-wave DFT calculation with PBE was carried out for Mg2H6Ru after structural relaxation.

Unit cell a=6.600 b=6.600 c=6.600 alpha=90.00 beta=90.00 gamma=90.00
Space group Fm-3m (No. 225)
Unique sites:
Mg (0.250, 0.250, 0.250) [8 per cell]
H (0.000, 0.000, 0.245) [24 per cell]
Ru (0.000, 0.000, 0.500) [4 per cell]

Output
Polymorph energy (0 for the lowest one): 0.00 kcal/mol of atoms



Number 1: density 3.62 g cm⁻³. Number 2: density 3.23 g cm⁻³. Number 3: density 5.41 g cm⁻³. Number 4: density 3.60 g cm⁻³.